The following is a DFT calculation (PBE+U) of a geometry-optimized NdCo4Cu3O12 structure.

Cell: 6.3359 6.3359 6.3359 Å, 109.47 109.47 109.47°
Last column: nearest neighbours and their distance in Å.
Atoms (fractional coordinates):
1 Nd 0.0000 0.0000 0.0000  12 O 2.58
2 Co 0.0000 0.0000 0.5000  6 O 1.96
3 Co 0.0000 0.5000 0.0000  6 O 1.96
4 Co 0.5000 0.0000 0.0000  6 O 1.96
5 Co 0.5000 0.5000 0.5000  6 O 1.96
6 Cu 0.0000 0.5000 0.5000  4 O 1.89
7 Cu 0.5000 0.0000 0.5000  4 O 1.89
8 Cu 0.5000 0.5000 0.0000  4 O 1.89
9 O 0.1356 0.3083 0.8274  1 Cu 1.89, 2 Co 1.96
10 O 0.1726 0.4809 0.3083  1 Cu 1.89, 2 Co 1.96
11 O 0.1726 0.8644 0.6917  1 Cu 1.89, 2 Co 1.96
12 O 0.3083 0.1726 0.4809  1 Cu 1.89, 2 Co 1.96
13 O 0.3083 0.8274 0.1356  1 Cu 1.89, 2 Co 1.96
14 O 0.4809 0.3083 0.1726  1 Cu 1.89, 2 Co 1.96
15 O 0.5191 0.6917 0.8274  1 Cu 1.89, 2 Co 1.96
16 O 0.6917 0.1726 0.8644  1 Cu 1.89, 2 Co 1.96
17 O 0.6917 0.8274 0.5191  1 Cu 1.89, 2 Co 1.96
18 O 0.8274 0.1356 0.3083  1 Cu 1.89, 2 Co 1.96
19 O 0.8274 0.5191 0.6917  1 Cu 1.89, 2 Co 1.96
20 O 0.8644 0.6917 0.1726  1 Cu 1.89, 2 Co 1.96

As for the total energy: -5.94 eV/atom. The space group is Im-3. Its density of states at the Fermi level is 0.146 states/eV/atom.